An optimized crystal structure of FeSb2Cl. Source: the Alexandria database, functional PBE.

Values from the calculation:
* space group: R3m, No. 160
* DFT total energy: -4.6694 eV per atom
* total moment: 2.735 μB per formula unit

a = 9.549 Å, b = 9.549 Å, c = 9.549 Å
α = 20.78°, β = 20.78°, γ = 20.78°
Site moments in Bohr magnetons follow the coordinates.
Atoms (fractional coordinates):
Sb  0.264  0.264  0.264  0.01
Sb  0.019  0.019  0.019  -0.06
Cl  0.466  0.466  0.466  0.11
Fe  0.750  0.750  0.750  2.69

=====

An optimized crystal structure of DyLuAg4. Source: the Alexandria database, functional PBE.

Values from the calculation:
* E_form: -171 meV/atom
* space group: F-43m, No. 216
* DFT total energy: -3.5926 eV per atom
* total moment: 0.000 μB per formula unit

a = 5.674 Å, b = 5.674 Å, c = 5.674 Å
α = 60.00°, β = 60.00°, γ = 60.00°
Atoms (fractional coordinates):
Lu  0.250  0.250  0.250
Ag  0.625  0.625  0.625
Ag  0.625  0.625  0.125
Ag  0.625  0.125  0.625
Ag  0.125  0.625  0.625
Dy  0.000  0.000  0.000

=====

An optimized crystal structure of Ca2CrRe. Source: the Alexandria database, functional PBE.

Values from the calculation:
* E_form: 986 meV/atom
* space group: C2/m, No. 12
* DFT total energy: -5.5324 eV per atom
* total moment: 3.869 μB per formula unit

a = 5.218 Å, b = 5.218 Å, c = 5.874 Å
α = 85.09°, β = 85.09°, γ = 32.49°
Site moments in Bohr magnetons follow the coordinates.
Atoms (fractional coordinates):
Ca  0.994  0.994  0.011  -0.04
Ca  0.506  0.506  0.489  -0.04
Re  0.250  0.250  0.250  0.04
Cr  0.750  0.750  0.750  3.56

=====

An optimized crystal structure of Mg2FeAs. Source: the Alexandria database, functional PBE.

Values from the calculation:
* E_form: -14 meV/atom
* space group: P4/mmm, No. 123
* DFT total energy: -4.0893 eV per atom
* total moment: 2.556 μB per formula unit

a = 4.144 Å, b = 4.144 Å, c = 3.882 Å
α = 90.00°, β = 90.00°, γ = 90.00°
Site moments in Bohr magnetons follow the coordinates.
Atoms (fractional coordinates):
Mg  0.000  0.000  0.000  -0.02
Mg  0.500  0.500  0.000  -0.02
As  0.500  0.000  0.500  0.03
Fe  0.000  0.500  0.500  2.52

=====

An optimized crystal structure of GaRu3Cl. Source: the Alexandria database, functional PBE.

Values from the calculation:
* space group: Pm-3m, No. 221
* DFT total energy: -4.9832 eV per atom
* total moment: 6.085 μB per formula unit

a = 4.746 Å, b = 4.746 Å, c = 4.746 Å
α = 90.00°, β = 90.00°, γ = 90.00°
Site moments in Bohr magnetons follow the coordinates.
Atoms (fractional coordinates):
Ga  0.000  0.000  0.000  -0.11
Ru  0.000  0.500  0.000  2.06
Ru  0.500  0.000  0.000  1.75
Ru  0.000  0.000  0.500  1.93
Cl  0.500  0.500  0.500  0.18

=====

An optimized crystal structure of V2CrIn. Source: the Alexandria database, functional PBE.

Values from the calculation:
* E_form: 289 meV/atom
* space group: Fm-3m, No. 225
* DFT total energy: -7.3607 eV per atom
* total moment: 1.280 μB per formula unit

a = 4.397 Å, b = 4.397 Å, c = 4.397 Å
α = 60.00°, β = 60.00°, γ = 60.00°
Site moments in Bohr magnetons follow the coordinates.
Atoms (fractional coordinates):
Cr  0.000  0.000  0.000  -0.80
In  0.500  0.500  0.500  0.01
V  0.250  0.250  0.250  0.93
V  0.750  0.750  0.750  0.93

=====

An optimized crystal structure of VTe2NCl. Source: the Alexandria database, functional PBE.

Values from the calculation:
* space group: P4/mmm, No. 123
* DFT total energy: -4.9958 eV per atom
* total moment: 0.000 μB per formula unit

a = 5.420 Å, b = 5.420 Å, c = 3.613 Å
α = 90.00°, β = 90.00°, γ = 90.00°
Atoms (fractional coordinates):
N  0.000  0.000  0.500
Te  0.500  0.000  0.000
Te  0.000  0.500  0.000
V  0.000  0.000  0.000
Cl  0.500  0.500  0.500

=====

An optimized crystal structure of Rb4Ac3HoTe8. Source: the Alexandria database, functional PBE.

Values from the calculation:
* space group: R-3m, No. 166
* DFT total energy: -4.3220 eV per atom
* total moment: 0.000 μB per formula unit

a = 9.577 Å, b = 10.224 Å, c = 9.578 Å
α = 117.95°, β = 120.00°, γ = 90.00°
Atoms (fractional coordinates):
Te  0.227  0.706  0.980
Te  0.261  0.284  0.523
Te  0.739  0.716  0.477
Te  0.753  0.706  0.980
Te  0.773  0.294  0.020
Te  0.773  0.294  0.547
Te  0.227  0.706  0.453
Te  0.247  0.294  0.020
Ac  0.500  0.500  0.500
Ac  0.000  0.500  0.500
Ac  0.500  0.500  0.000
Rb  0.500  0.000  0.000
Rb  0.000  0.000  0.500
Rb  0.000  0.000  0.000
Rb  0.500  0.000  0.500
Ho  0.000  0.500  0.000